Entry 1:
VASP calculation (GGA-PBE) on crystalline LiAs2W at its relaxed geometry.

DFT formation energy: 0.284 eV per atom
Raw total energy: -5.76 eV/atom

Unit cell a=2.7183 b=2.7183 c=9.8444 alpha=90.00 beta=90.00 gamma=90.00
Positions (direct):
1 As 0.0000 0.0000 0.9516
2 As 0.5000 0.5000 0.2975
3 Li 0.0000 0.0000 0.5079
4 W 0.5000 0.5000 0.7431

***

Entry 2:
VASP calculation (GGA-PBE) on crystalline Sc2TlNiH at its relaxed geometry.

Raw total energy: -5.17 eV/atom

Unit cell a=4.7445 b=4.7445 c=3.5592 alpha=90.00 beta=90.00 gamma=90.00
Positions (direct):
1 Sc 0.0000 0.5000 0.0000
2 Sc 0.5000 0.0000 0.0000
3 Ni 0.0000 0.0000 0.5000
4 Tl 0.5000 0.5000 0.5000
5 H 0.0000 0.0000 0.0000

***

Entry 3:
VASP calculation (GGA-PBE) on crystalline Nd6Sm2Tl at its relaxed geometry.

DFT formation energy: 0.056 eV per atom
Raw total energy: -4.43 eV/atom

Unit cell a=8.7663 b=8.7663 c=9.3590 alpha=82.05 beta=82.05 gamma=60.57
Positions (direct):
1 Nd 0.5590 0.6627 0.6570
2 Nd 0.3373 0.4410 0.8430
3 Nd 0.4410 0.3373 0.3430
4 Nd 0.6627 0.5590 0.1570
5 Nd 0.3764 0.9110 0.9640
6 Nd 0.0890 0.6236 0.5360
7 Nd 0.6236 0.0890 0.0360
8 Nd 0.9110 0.3764 0.4640
9 Nd 0.1063 0.7247 0.1294
10 Nd 0.2753 0.8937 0.3706
11 Nd 0.8937 0.2753 0.8706
12 Nd 0.7247 0.1063 0.6294
13 Sm 0.7004 0.8635 0.3595
14 Sm 0.1365 0.2996 0.1405
15 Sm 0.2996 0.1365 0.6405
16 Sm 0.8635 0.7004 0.8595
17 Tl 0.8765 0.1235 0.2500
18 Tl 0.1235 0.8765 0.7500

***

Entry 4:
VASP calculation (GGA-PBE) on crystalline Tm2CdO2 at its relaxed geometry.

Formation energy (no corrections): -2.476 eV per atom
Raw total energy: -6.43 eV/atom

Unit cell a=3.9379 b=3.9379 c=6.5222 alpha=107.57 beta=107.57 gamma=90.00
Positions (direct):
1 Tm 0.6622 0.6622 0.3245
2 Tm 0.3378 0.3378 0.6755
3 Cd 0.0000 0.0000 0.0000
4 O 0.7500 0.2500 0.5000
5 O 0.2500 0.7500 0.5000

***

Entry 5:
VASP calculation (GGA-PBE) on crystalline BaIrF at its relaxed geometry.

Formation energy (no corrections): -1.572 eV per atom
Raw total energy: -5.79 eV/atom

Unit cell a=8.2237 b=4.4213 c=8.5905 alpha=90.00 beta=90.00 gamma=90.00
Positions (direct):
1 Ir 0.4958 0.2500 0.5483
2 Ir 0.0042 0.7500 0.0483
3 Ir 0.5042 0.7500 0.4517
4 Ir 0.9958 0.2500 0.9517
5 Ba 0.8379 0.2500 0.3448
6 Ba 0.6621 0.7500 0.8448
7 Ba 0.1621 0.7500 0.6552
8 Ba 0.3379 0.2500 0.1552
9 F 0.9966 0.2500 0.6064
10 F 0.5034 0.7500 0.1064
11 F 0.0034 0.7500 0.3936
12 F 0.4966 0.2500 0.8936

***

Across the entries above, size of the total moment takes the values 0.00 0.00 0.00 0.00 0.00 μB/f.u., respectively.